# 1
Crystalline Li2CaBi2 at its relaxed geometry. Source: the Alexandria database, functional PBE.

abc: 4.5941 4.5941 12.5629
angles: 90.00 90.00 90.00
Space group I4/mmm (No. 139)
Unique sites:
Li 0.0000 0.5000 0.2500 x4
Ca 0.0000 0.0000 0.0000 x2
Bi 0.0000 0.0000 0.3789 x4

D(E_F)   3.06 states/eV per cell
ΔE to the lowest computed polymorph   46 meV per atom
Total magnetic moment   0.00 μB per formula unit
Formation enthalpy at 0 K   -2.62 eV per formula unit
V   26.51 Å³/atom


# 2
Crystalline Ca3SmPb4 at its relaxed geometry. Source: the Alexandria database, functional PBE.

abc: 4.5532 5.1017 10.2847
angles: 90.00 90.00 90.00
Space group Pmmm (No. 47)
Unique sites:
Ca 0.0000 0.0000 0.0000 x1
Ca 0.0000 0.5000 0.2447 x2
Sm 0.0000 0.0000 0.5000 x1
Pb 0.5000 0.0000 0.2529 x2
Pb 0.5000 0.5000 0.0000 x1
Pb 0.5000 0.5000 0.5000 x1

D(E_F)   5.74 states/eV per cell
Total magnetic moment   0.00 μB per formula unit
Formation enthalpy at 0 K   -4.02 eV per formula unit
V   29.86 Å³/atom